Entry from Alexandria: a geometry-optimized Re2BrCl structure (GGA-PBE).

Lattice parameters (Å, degrees): 3.5379 3.5379 9.1691 89.29 89.29 58.94
Last column: nearest neighbours and their distance in Å.
Atoms (fractional coordinates):
Re: 0.7778 0.7778 0.7934  3 Re 2.40-2.51
Re: 0.1184 0.1184 0.9398  1 Cl 2.26, 3 Re 2.40-2.51
Br: 0.4739 0.4739 0.5806  3 Re 2.72-2.87
Cl: 0.1299 0.1299 0.1862  1 Re 2.26

Results
V	98	Å³/cell
mass density	8.2	g/cm³
ΔE to the lowest computed polymorph	0.00	eV per formula unit
SG	Cm (8)